A relaxed Nd3Ga2Pt3 crystal. Source: Alexandria via LeMat-Bulk, functional GGA-PBE.

Computed properties:
The formation enthalpy at 0 K comes out at -1.0160 eV per atom. The total moment is 0.00 μB/f.u.

Cell and atoms, written as CIF:
```
data_Nd3Ga2Pt3
_symmetry_space_group_name_H-M 'C m c m'
_symmetry_Int_Tables_number 63
_symmetry_space_group_name_Hall '-C 2c 2'
_cell_length_a 4.409
_cell_length_b 10.939
_cell_length_c 14.718
_cell_angle_alpha 90.00
_cell_angle_beta 90.00
_cell_angle_gamma 90.00
loop_
_atom_site_label
_atom_site_fract_x
_atom_site_fract_y
_atom_site_fract_z
Nd1 0.000 0.081 0.106
Nd2 0.000 0.367 0.250
Ga1 0.000 0.216 0.592
Pt1 0.000 0.335 0.750
Pt2 0.000 0.385 0.045
```